1.
The following is a DFT calculation (PBE) of a relaxed Ba2Li crystal.

Calculated values
**Total energy**: -1.847 eV/atom
**ΔH_f (0 K)**: 0.07 eV/atom
**Density of states at the Fermi level**: 3.55 states/eV/f.u.

The structure in extended XYZ format:
```
6
Lattice="7.310 -0.469 -0.440 5.561 4.767 -0.440 0.507 0.169 8.223" Properties=species:S:1:pos:R:3 pbc="T T T"
Ba 12.545 4.190 7.174
Ba 4.634 1.548 3.587
Ba 8.587 2.868 5.379
Ba 8.337 2.784 1.264
Li 0.619 0.207 3.853
Li 3.688 1.232 7.772
```

***

2.
The following is a DFT calculation (PBE) of a relaxed BaLi2 crystal.

Calculated values
**Total energy**: -1.721 eV/atom
**ΔH_f (0 K)**: 0.20 eV/atom
**Density of states at the Fermi level**: 2.54 states/eV/f.u.

The structure in extended XYZ format:
```
9
Lattice="-6.666 4.720 -0.186 -0.653 -7.919 1.901 0.797 1.361 5.942" Properties=species:S:1:pos:R:3 pbc="T T T"
Ba -2.658 -3.706 1.205
Ba -4.662 0.507 0.510
Ba 0.399 0.680 2.971
Li -1.342 0.950 -0.037
Li -0.132 -1.595 0.383
Li -5.846 -2.555 1.370
Li -2.913 3.025 2.878
Li 0.074 -3.253 3.915
Li -3.285 -0.930 3.834
```

***

3.
The following is a DFT calculation (PBE) of a relaxed BaLi3 crystal.

Calculated values
**Total energy**: -1.891 eV/atom
**ΔH_f (0 K)**: 0.03 eV/atom
**Density of states at the Fermi level**: 3.60 states/eV/f.u.

The structure in extended XYZ format:
```
12
Lattice="-5.897 -2.071 1.904 3.043 -2.892 -5.006 7.338 -4.230 6.851" Properties=species:S:1:pos:R:3 pbc="T T T"
Ba 1.886 -2.807 2.756
Ba 2.598 -6.386 0.993
Ba 0.000 0.000 0.000
Li -1.896 -2.625 2.466
Li 2.600 -2.991 -0.962
Li -0.404 -4.042 0.006
Li 5.191 -3.561 0.922
Li 0.092 -2.664 -2.656
Li 4.393 -6.528 6.405
Li 1.885 -6.202 4.711
Li 6.381 -6.568 1.283
Li 4.889 -5.150 3.743
```